VASP calculation (PBE-GGA) on a geometry-optimized HfGeAsBr2 structure.

```
HfGeAsBr2
1.0
-3.450 -2.925 2.245
-0.271 -2.864 -4.150
3.815 -3.067 1.868
As Hf Ge Br
1 1 1 2
Direct
0.000 0.000 0.500
0.500 0.500 0.500
0.000 0.000 0.000
0.000 0.500 0.000
0.500 0.000 0.000
```

The calculation puts the raw formation energy at 0.56 eV/atom. Its total magnetization is 0.229 μB per atom. As for the energy above the most stable polymorph in this dataset: 618 meV per atom. The total DFT energy (no corrections) is -0.2903 Ry per atom.